The following is a DFT calculation (PBE) of a geometry-optimized RuPbAu3 structure.

The space group is Pm-3m (No. 221) and the conventional cell measures 5.063, 5.063 and 5.063 Å, with angles of 90.00, 90.00 and 90.00 degrees. The distinct sites, in fractional coordinates, are Ru at (0.000, 0.000, 0.000), Pb at (0.500, 0.500, 0.500) and Au at (0.000, 0.000, 0.500).

The volume comes out at 26.0 Å³/atom. The formation energy comes out at 0.7636 eV/atom. Its density of states at the Fermi level is 4.09 states/eV/cell. As for the magnetic moment: 1.93 μB per cell.